The following is a GGA-PBE calculation of a relaxed structure of PrZnCl, from the Alexandria database.

Results
The value obtained for the energy above the most stable polymorph in this dataset is 0.1 kJ per mole of atoms. The value obtained for the formation energy without anion corrections is -1165 meV/atom. Its symmetry is No. 12. The magnetization is 0.0 Bohr magnetons per cell.

Geometry as CIF:
```
data_PrZnCl
_chemical_formula_sum 'Pr2 Zn2 Cl2'
_symmetry_space_group_name_H-M 'P 1'
_symmetry_Int_Tables_number 1
_symmetry_space_group_name_Hall 'P 1'
_cell_length_a 4.193
_cell_length_b 4.193
_cell_length_c 11.300
_cell_angle_alpha 88.52
_cell_angle_beta 88.52
_cell_angle_gamma 60.06
loop_
_atom_site_label
_atom_site_type_symbol
_atom_site_fract_x
_atom_site_fract_y
_atom_site_fract_z
Pr1 Pr 0.991 0.991 0.697
Pr2 Pr 0.009 0.009 0.303
Zn1 Zn 0.666 0.666 0.517
Zn2 Zn 0.334 0.334 0.483
Cl1 Cl 0.682 0.682 0.158
Cl2 Cl 0.318 0.318 0.842
```